Model i:
Here is PmTlAs after structural relaxation from the Alexandria database. Energies are from PBE.

Computed properties:
- DOS(E_F) (states/eV/cell) = 3.6
- space-group type = No. 156

Cell lengths 5.019, 4.545, 4.545 Å; angles 120.00, 90.00, 90.00 degrees
Sites, in units of the cell vectors:
Tl: 0.706 0.667 0.333
As: 0.036 0.000 0.000
Pm: 0.257 0.333 0.667

=====

Model ii:
Here is PmTlAs after structural relaxation from the Alexandria database. Energies are from PBE.

Computed properties:
- DOS(E_F) (states/eV/cell) = 2.1
- space-group type = No. 107

Cell lengths 4.115, 4.115, 6.536 Å; angles 108.35, 108.35, 90.00 degrees
Sites, in units of the cell vectors:
Tl: 0.990 0.990 0.980
As: 0.747 0.747 0.493
Pm: 0.263 0.263 0.527

=====

If we sort the structures by their calculated energies, the order from most to least stable is model ii, model i.

=====

Model i:
Here is Pm2TlAs after structural relaxation from the Alexandria database. Energies are from PBE.

Computed properties:
- DOS(E_F) (states/eV/cell) = 1.9
- space-group type = No. 166

Cell lengths 4.140, 4.140, 8.348 Å; angles 75.64, 75.64, 60.00 degrees
Sites, in units of the cell vectors:
As: 0.500 0.500 0.500
Tl: 0.000 0.000 0.000
Pm: 0.238 0.238 0.287
Pm: 0.762 0.762 0.713

=====

Model ii:
Here is Pm2TlAs after structural relaxation from the Alexandria database. Energies are from PBE.

Computed properties:
- DOS(E_F) (states/eV/cell) = 4.5
- space-group type = No. 225

Cell lengths 5.340, 5.340, 5.340 Å; angles 60.00, 60.00, 60.00 degrees
Sites, in units of the cell vectors:
Pm: 0.750 0.750 0.750
Pm: 0.250 0.250 0.250
Tl: 0.000 0.000 0.000
As: 0.500 0.500 0.500

=====

Model iii:
Here is Pm2TlAs after structural relaxation from the Alexandria database. Energies are from PBE.

Computed properties:
- DOS(E_F) (states/eV/cell) = 2.6
- space-group type = No. 123

Cell lengths 3.876, 3.876, 7.068 Å; angles 90.00, 90.00, 90.00 degrees
Sites, in units of the cell vectors:
As: 0.500 0.500 0.000
Pm: 0.000 0.000 0.229
Pm: 0.000 0.000 0.771
Tl: 0.500 0.500 0.500

=====

If we sort the structures by their calculated energies, the order from most to least stable is model i, model iii, model ii.

=====

Model i:
Here is Pm3TlAs after structural relaxation from the Alexandria database. Energies are from PBE.

Computed properties:
- DOS(E_F) (states/eV/cell) = 2.6
- space-group type = No. 221

Cell lengths 5.547, 5.547, 5.547 Å; angles 90.00, 90.00, 90.00 degrees
Sites, in units of the cell vectors:
Tl: 0.500 0.500 0.500
Pm: 0.500 0.000 0.000
Pm: 0.000 0.000 0.500
Pm: 0.000 0.500 0.000
As: 0.000 0.000 0.000

=====

Model ii:
Here is Pm3TlAs after structural relaxation from the Alexandria database. Energies are from PBE.

Computed properties:
- DOS(E_F) (states/eV/cell) = 14.8
- space-group type = No. 62

Cell lengths 4.655, 7.740, 16.609 Å; angles 90.00, 90.00, 90.00 degrees
Each line ends with the local moment (μB).
Sites, in units of the cell vectors:
Pm: 0.250 0.015 0.399  0.11
Pm: 0.250 0.515 0.101  0.11
Pm: 0.750 0.629 0.445  0.07
Pm: 0.750 0.129 0.055  0.07
Pm: 0.250 0.688 0.724  0.07
Pm: 0.750 0.812 0.224  0.07
Pm: 0.750 0.485 0.899  0.11
Pm: 0.250 0.188 0.776  0.07
Pm: 0.750 0.985 0.601  0.11
Pm: 0.250 0.371 0.555  0.07
Pm: 0.750 0.312 0.276  0.07
Pm: 0.250 0.871 0.945  0.07
As: 0.250 0.277 0.961  0.00
As: 0.750 0.223 0.461  0.00
As: 0.750 0.723 0.039  0.00
As: 0.250 0.777 0.539  0.00
Tl: 0.250 0.592 0.308  0.00
Tl: 0.750 0.908 0.808  0.00
Tl: 0.250 0.092 0.192  0.00
Tl: 0.750 0.408 0.692  0.00

=====

If we sort the structures by their calculated energies, the order from most to least stable is model ii, model i.

=====

Model i:
Here is PmTmAs after structural relaxation from the Alexandria database. Energies are from PBE.

Computed properties:
- DOS(E_F) (states/eV/cell) = 1.9
- space-group type = No. 107

Cell lengths 3.731, 3.731, 6.266 Å; angles 107.32, 107.32, 90.00 degrees
Each line ends with the local moment (μB).
Sites, in units of the cell vectors:
As: 0.630 0.630 0.259  0.00
Tm: 0.252 0.252 0.505  0.33
Pm: 0.968 0.968 0.936  0.26

=====

Model ii:
Here is PmTmAs after structural relaxation from the Alexandria database. Energies are from PBE.

Computed properties:
- DOS(E_F) (states/eV/cell) = 2.5
- space-group type = No. 156

Cell lengths 6.544, 3.988, 3.988 Å; angles 120.00, 90.00, 90.00 degrees
Each line ends with the local moment (μB).
Sites, in units of the cell vectors:
Pm: 0.735 0.667 0.333  0.21
As: 0.009 0.000 0.000  0.00
Tm: 0.256 0.333 0.667  0.27

=====

Model iii:
Here is PmTmAs after structural relaxation from the Alexandria database. Energies are from PBE.

Computed properties:
- DOS(E_F) (states/eV/cell) = 5.9
- space-group type = No. 63

Cell lengths 3.750, 3.769, 11.435 Å; angles 80.51, 90.00, 90.00 degrees
Each line ends with the local moment (μB).
Sites, in units of the cell vectors:
Pm: 0.250 0.432 0.136  0.02
Pm: 0.750 0.568 0.864  0.02
Tm: 0.750 0.706 0.588  0.36
Tm: 0.250 0.294 0.412  0.36
As: 0.250 0.150 0.700  -0.01
As: 0.750 0.850 0.300  -0.01

=====

If we sort the structures by their calculated energies, the order from most to least stable is model ii, model i, model iii.

=====

Model i:
Here is PmUAs2 after structural relaxation from the Alexandria database. Energies are from PBE.

Computed properties:
- DOS(E_F) (states/eV/cell) = 5.4
- space-group type = No. 160

Cell lengths 4.079, 4.079, 7.573 Å; angles 74.38, 74.38, 60.00 degrees
Each line ends with the local moment (μB).
Sites, in units of the cell vectors:
U: 0.669 0.669 0.992  2.30
As: 0.255 0.255 0.236  -0.06
As: 0.079 0.079 0.762  -0.05
Pm: 0.497 0.497 0.510  0.07

=====

Model ii:
Here is PmUAs2 after structural relaxation from the Alexandria database. Energies are from PBE.

Computed properties:
- DOS(E_F) (states/eV/cell) = 4.3
- space-group type = No. 166

Cell lengths 4.122, 4.122, 7.307 Å; angles 73.62, 73.62, 60.00 degrees
Each line ends with the local moment (μB).
Sites, in units of the cell vectors:
U: 0.500 0.500 0.500  2.23
As: 0.754 0.754 0.740  -0.05
As: 0.246 0.246 0.260  -0.05
Pm: 0.000 0.000 0.000  0.02

=====

If we sort the structures by their calculated energies, the order from most to least stable is model ii, model i.

=====

Model i:
Here is PmUAs2 after structural relaxation from the Alexandria database. Energies are from PBE.

Computed properties:
- DOS(E_F) (states/eV/cell) = 3.9
- space-group type = No. 123

Cell lengths 3.564, 3.564, 7.187 Å; angles 90.00, 90.00, 90.00 degrees
Each line ends with the local moment (μB).
Sites, in units of the cell vectors:
As: 0.000 0.000 0.237  -0.09
As: 0.000 0.000 0.763  -0.09
U: 0.500 0.500 0.000  2.34
Pm: 0.500 0.500 0.500  0.12

=====

Model ii:
Here is PmUAs2 after structural relaxation from the Alexandria database. Energies are from PBE.

Computed properties:
- DOS(E_F) (states/eV/cell) = 4.5
- space-group type = No. 225

Cell lengths 5.059, 5.059, 5.059 Å; angles 60.00, 60.00, 60.00 degrees
Each line ends with the local moment (μB).
Sites, in units of the cell vectors:
As: 0.750 0.750 0.750  -0.10
As: 0.250 0.250 0.250  -0.10
U: 0.500 0.500 0.500  2.38
Pm: 0.000 0.000 0.000  0.27

=====

If we sort the structures by their calculated energies, the order from most to least stable is model i, model ii.

=====

Model i:
Here is PmYAs2 after structural relaxation from the Alexandria database. Energies are from PBE.

Computed properties:
- DOS(E_F) (states/eV/cell) = 2.2
- space-group type = No. 225

Cell lengths 5.124, 5.124, 5.124 Å; angles 60.00, 60.00, 60.00 degrees
Sites, in units of the cell vectors:
As: 0.750 0.750 0.750
As: 0.250 0.250 0.250
Pm: 0.000 0.000 0.000
Y: 0.500 0.500 0.500

=====

Model ii:
Here is PmYAs2 after structural relaxation from the Alexandria database. Energies are from PBE.

Computed properties:
- DOS(E_F) (states/eV/cell) = 0.4
- space-group type = No. 160

Cell lengths 4.146, 4.146, 7.504 Å; angles 73.96, 73.96, 60.00 degrees
Sites, in units of the cell vectors:
Y: 0.498 0.498 0.507
Pm: 0.669 0.669 0.992
As: 0.249 0.249 0.253
As: 0.084 0.084 0.748

=====

If we sort the structures by their calculated energies, the order from most to least stable is model ii, model i.

=====

Model i:
Here is PmYAs2 after structural relaxation from the Alexandria database. Energies are from PBE.

Computed properties:
- DOS(E_F) (states/eV/cell) = 0.5
- space-group type = No. 166

Cell lengths 4.184, 4.184, 7.236 Å; angles 73.17, 73.17, 60.02 degrees
Sites, in units of the cell vectors:
As: 0.248 0.248 0.257
As: 0.752 0.752 0.743
Pm: 0.000 0.000 0.000
Y: 0.500 0.500 0.500

=====

Model ii:
Here is PmYAs2 after structural relaxation from the Alexandria database. Energies are from PBE.

Computed properties:
- DOS(E_F) (states/eV/cell) = 2.0
- space-group type = No. 123

Cell lengths 3.351, 5.299, 5.299 Å; angles 90.00, 90.00, 90.00 degrees
Sites, in units of the cell vectors:
As: 0.000 0.500 0.000
As: 0.000 0.000 0.500
Pm: 0.500 0.000 0.000
Y: 0.500 0.500 0.500

=====

If we sort the structures by their calculated energies, the order from most to least stable is model i, model ii.